This record from OQMD describes a relaxed structure of BeNbZnNi. The functional is PBE-GGA.

Calculated values
Spin magnetization = 0.00 μB per formula unit
Distance to the lowest polymorph of the same formula = 0.000 eV per atom

Unit cell a=4.1589 b=4.1589 c=4.1589 alpha=60.00 beta=60.00 gamma=60.00
With the nearest neighbours (Å) after each atom.
Fractional coordinates of all 4 atoms:
Nb 0.5000 0.5000 0.5000  4 Ni 2.55, 4 Be 2.55
Zn 0.0000 0.0000 0.0000  4 Ni 2.55, 4 Be 2.55
Ni 0.7500 0.7500 0.7500  4 Nb 2.55, 4 Zn 2.55
Be 0.2500 0.2500 0.2500  4 Nb 2.55, 4 Zn 2.55

---

This record from OQMD describes a relaxed structure of SmNi2SnSb. The functional is PBE-GGA.

Calculated values
Spin magnetization = 0.00 μB per formula unit
Distance to the lowest polymorph of the same formula = 0.094 eV per atom

Unit cell a=4.4856 b=4.4856 c=9.9414 alpha=90.00 beta=90.00 gamma=90.00
With the nearest neighbours (Å) after each atom.
Fractional coordinates of all 10 atoms:
Sm 0.5000 0.0000 0.7618  8 Ni 3.26-3.46, 5 Sn 3.37-3.61, 4 Sb 3.44
Sm 0.0000 0.5000 0.2382  8 Ni 3.26-3.46, 5 Sn 3.37-3.61, 4 Sb 3.44
Ni 0.5000 0.0000 0.3784  1 Sn 2.52, 4 Sb 2.55
Ni 0.5000 0.5000 0.0000  4 Sn 2.56
Ni 0.0000 0.5000 0.6216  1 Sn 2.52, 4 Sb 2.55
Ni 0.0000 0.0000 0.0000  4 Sn 2.56
Sb 0.5000 0.5000 0.5000  4 Ni 2.55
Sb 0.0000 0.0000 0.5000  4 Ni 2.55
Sn 0.5000 0.0000 0.1250  5 Ni 2.52-2.56
Sn 0.0000 0.5000 0.8750  5 Ni 2.52-2.56

---

This record from OQMD describes a relaxed structure of SrB2Au. The functional is PBE-GGA.

Calculated values
Uncorrected energy = -3.27 eV/atom

Unit cell a=4.6332 b=4.6332 c=4.6332 alpha=60.00 beta=60.00 gamma=60.00
With the nearest neighbours (Å) after each atom.
Fractional coordinates of all 4 atoms:
Au 0.2500 0.2500 0.2500  4 Sr 2.84, 4 B 2.84
B 0.0000 0.0000 0.0000  4 Au 2.84, 4 B 2.84
B 0.7500 0.7500 0.7500  4 B 2.84, 4 Sr 2.84
Sr 0.5000 0.5000 0.5000  4 Au 2.84, 4 B 2.84

---

This record from OQMD describes a relaxed structure of HoScPO. The functional is PBE-GGA.

Calculated values
Spin magnetization = 0.02 μB per formula unit
Distance to the lowest polymorph of the same formula = 0.030 eV per atom

Unit cell a=4.1123 b=4.1123 c=8.4678 alpha=90.00 beta=90.00 gamma=90.00
With the nearest neighbours (Å) after each atom.
Fractional coordinates of all 8 atoms:
P 0.7500 0.7500 0.3161  4 Sc 2.58
P 0.2500 0.2500 0.6839  4 Sc 2.58
O 0.7500 0.2500 0.0000  4 Ho 2.28
O 0.2500 0.7500 0.0000  4 Ho 2.28
Sc 0.7500 0.2500 0.5000  4 P 2.58
Sc 0.2500 0.7500 0.5000  4 P 2.58
Ho 0.2500 0.2500 0.1155  4 O 2.28
Ho 0.7500 0.7500 0.8845  4 O 2.28

---

This record from OQMD describes a relaxed structure of BAuNO. The functional is PBE-GGA.

Calculated values
Distance to the lowest polymorph of the same formula = 0.185 eV per atom

Unit cell a=2.6373 b=5.0062 c=5.8465 alpha=90.00 beta=90.00 gamma=90.00
With the nearest neighbours (Å) after each atom.
Fractional coordinates of all 8 atoms:
B 0.0000 0.0192 0.6067  2 N 1.52-1.59, 2 O 1.54
B 0.0000 0.5192 0.3933  2 N 1.52-1.59, 2 O 1.54
N 0.0000 0.3371 0.6021  2 B 1.52-1.59
N 0.0000 0.8371 0.3979  2 B 1.52-1.59
O 0.5000 0.4439 0.2729  2 B 1.54
O 0.5000 0.9439 0.7271  2 B 1.54
Au 0.5000 0.9539 0.1170  2 N 2.19, 1 O 2.28
Au 0.5000 0.4539 0.8830  2 N 2.19, 1 O 2.28

---

This record from OQMD describes a relaxed structure of PrGdMg. The functional is PBE-GGA.

Calculated values
Spin magnetization = 0.50 μB per formula unit
Distance to the lowest polymorph of the same formula = 0.000 eV per atom

Unit cell a=5.3328 b=5.3328 c=5.3328 alpha=60.00 beta=60.00 gamma=60.00
With the nearest neighbours (Å) after each atom.
Fractional coordinates of all 3 atoms:
Gd 0.2500 0.2500 0.2500  4 Mg 3.27
Mg 0.0000 0.0000 0.0000  4 Gd 3.27, 4 Pr 3.27
Pr 0.7500 0.7500 0.7500  4 Mg 3.27